Record 1
# PBE ZrCl2F, relaxed
data_ZrCl2F
_chemical_formula_sum 'Zr4 Cl8 F4'
_cell_length_a 6.3649
_cell_length_b 6.3649
_cell_length_c 6.3649
_cell_angle_alpha 90.00
_cell_angle_beta 90.00
_cell_angle_gamma 90.00
_space_group_name_H-M_alt 'F m -3 m'
_space_group_IT_number 225
_space_group_name_Hall '-F 4 2 3'
loop_
_atom_site_label
_atom_site_type_symbol
_atom_site_fract_x
_atom_site_fract_y
_atom_site_fract_z
Zr1 Zr 0.0000 0.0000 0.0000
Cl1 Cl 0.2500 0.2500 0.2500
F1 F 0.0000 0.0000 0.5000
# ΔE_f (raw), eV/atom: -1.476
# Excess energy over the best structure of this formula in the dataset, meV/atom: 671.6
# Total magnetization, μB/atom: 0.25
# Crystal system: cubic
# Electronic total energy, eV per atom: -5.004

Record 2
# PBE GeMoRu3, relaxed
data_GeMoRu3
_chemical_formula_sum 'Ge1 Mo1 Ru3'
_cell_length_a 4.4374
_cell_length_b 4.4374
_cell_length_c 4.4374
_cell_angle_alpha 90.00
_cell_angle_beta 90.00
_cell_angle_gamma 90.00
_space_group_name_H-M_alt 'P m -3 m'
_space_group_IT_number 221
_space_group_name_Hall '-P 4 2 3'
loop_
_atom_site_label
_atom_site_type_symbol
_atom_site_fract_x
_atom_site_fract_y
_atom_site_fract_z
Ge1 Ge 0.0000 0.0000 0.0000
Mo1 Mo 0.5000 0.5000 0.5000
Ru1 Ru 0.0000 0.0000 0.5000
# Excess energy over the best structure of this formula in the dataset, meV/atom: 0.0
# Total magnetization, μB/atom: 0.00
# Crystal system: cubic
# Electronic total energy, eV per atom: -7.386
# Energy of formation from the pure elements, eV per atom: 1.269

Record 3
# PBE TiGeW, relaxed
data_TiGeW
_chemical_formula_sum 'Ti4 Ge4 W4'
_cell_length_a 9.9012
_cell_length_b 3.3481
_cell_length_c 6.8450
_cell_angle_alpha 90.00
_cell_angle_beta 120.55
_cell_angle_gamma 90.00
_space_group_name_H-M_alt 'C 1 2/m 1'
_space_group_IT_number 12
_space_group_name_Hall '-C 2y'
loop_
_atom_site_label
_atom_site_type_symbol
_atom_site_fract_x
_atom_site_fract_y
_atom_site_fract_z
Ti1 Ti 0.0557 0.0000 0.2952
Ge1 Ge 0.1490 0.5000 0.6501
W1 W 0.1628 0.5000 0.0540
# Total magnetization, μB/atom: 0.00
# Crystal system: monoclinic
# Electronic total energy, eV per atom: -8.691
# Energy of formation from the pure elements, eV per atom: -0.202

Record 4
# PBE Ce8Ru3Pt2, relaxed
data_Ce8Ru3Pt2
_chemical_formula_sum 'Ce16 Ru6 Pt4'
_cell_length_a 15.1066
_cell_length_b 7.4801
_cell_length_c 6.8019
_cell_angle_alpha 90.00
_cell_angle_beta 112.77
_cell_angle_gamma 90.00
_space_group_name_H-M_alt 'C 1 2/m 1'
_space_group_IT_number 12
_space_group_name_Hall '-C 2y'
loop_
_atom_site_label
_atom_site_type_symbol
_atom_site_fract_x
_atom_site_fract_y
_atom_site_fract_z
Ce1 Ce 0.1010 0.0000 0.4238
Ce2 Ce 0.1117 0.2547 0.9139
Ce3 Ce 0.1618 0.5000 0.4999
Ru1 Ru 0.0000 0.0000 0.0000
Ru2 Ru 0.0000 0.3026 0.5000
Pt1 Pt 0.2465 0.0000 0.8318
# Total magnetization, μB/atom: 0.40
# Crystal system: monoclinic
# Electronic total energy, eV per atom: -7.117
# Energy of formation from the pure elements, eV per atom: -0.395

Record 5
# PBE TcNi4Rh, relaxed
data_TcNi4Rh
_chemical_formula_sum 'Tc4 Ni16 Rh4'
_cell_length_a 3.6248
_cell_length_b 10.7833
_cell_length_c 7.4097
_cell_angle_alpha 90.00
_cell_angle_beta 90.00
_cell_angle_gamma 90.00
_space_group_name_H-M_alt 'C m c 21'
_space_group_IT_number 36
_space_group_name_Hall 'C 2c -2'
loop_
_atom_site_label
_atom_site_type_symbol
_atom_site_fract_x
_atom_site_fract_y
_atom_site_fract_z
Tc1 Tc 0.0000 0.1679 0.0000
Ni1 Ni 0.0000 0.0045 0.7544
Ni2 Ni 0.0000 0.1650 0.5049
Ni3 Ni 0.0000 0.3368 0.2519
Ni4 Ni 0.0000 0.4991 0.4974
Rh1 Rh 0.0000 0.3337 0.7489
# Excess energy over the best structure of this formula in the dataset, meV/atom: 0.0
# Total magnetization, μB/atom: 0.00
# Crystal system: orthorhombic
# Electronic total energy, eV per atom: -6.807
# Energy of formation from the pure elements, eV per atom: 0.000

Record 6
# PBE SrAlBr, relaxed
data_SrAlBr
_chemical_formula_sum 'Sr2 Al2 Br2'
_cell_length_a 3.9533
_cell_length_b 3.9533
_cell_length_c 13.4049
_cell_angle_alpha 90.00
_cell_angle_beta 90.00
_cell_angle_gamma 90.00
_space_group_name_H-M_alt 'I 4 m m'
_space_group_IT_number 107
_space_group_name_Hall 'I 4 -2'
loop_
_atom_site_label
_atom_site_type_symbol
_atom_site_fract_x
_atom_site_fract_y
_atom_site_fract_z
Sr1 Sr 0.0000 0.0000 0.0000
Al1 Al 0.0000 0.0000 0.6431
Br1 Br 0.0000 0.0000 0.3858
# ΔE_f (raw), eV/atom: -0.526
# Total magnetization, μB/atom: 0.00
# Crystal system: tetragonal
# Electronic total energy, eV per atom: -2.892

Record 7
# PBE Cr2W, relaxed
data_Cr2W
_chemical_formula_sum 'Cr8 W4'
_cell_length_a 2.8291
_cell_length_b 4.2774
_cell_length_c 13.6554
_cell_angle_alpha 90.00
_cell_angle_beta 90.00
_cell_angle_gamma 90.00
_space_group_name_H-M_alt 'I m m a'
_space_group_IT_number 74
_space_group_name_Hall '-I 2b 2'
loop_
_atom_site_label
_atom_site_type_symbol
_atom_site_fract_x
_atom_site_fract_y
_atom_site_fract_z
Cr1 Cr 0.0000 0.2500 0.0195
Cr2 Cr 0.0000 0.2500 0.1838
W1 W 0.0000 0.2500 0.6560
# Excess energy over the best structure of this formula in the dataset, meV/atom: 475.8
# Total magnetization, μB/atom: 0.00
# Crystal system: orthorhombic
# Electronic total energy, eV per atom: -10.204
# Energy of formation from the pure elements, eV per atom: 0.530

Record 8
# PBE AlZn2Br, relaxed
data_AlZn2Br
_chemical_formula_sum 'Al4 Zn8 Br4'
_cell_length_a 7.1429
_cell_length_b 7.1429
_cell_length_c 7.1429
_cell_angle_alpha 90.00
_cell_angle_beta 90.00
_cell_angle_gamma 90.00
_space_group_name_H-M_alt 'F m -3 m'
_space_group_IT_number 225
_space_group_name_Hall '-F 4 2 3'
loop_
_atom_site_label
_atom_site_type_symbol
_atom_site_fract_x
_atom_site_fract_y
_atom_site_fract_z
Al1 Al 0.0000 0.0000 0.0000
Zn1 Zn 0.2500 0.2500 0.2500
Br1 Br 0.0000 0.0000 0.5000
# ΔE_f (raw), eV/atom: 0.336
# Excess energy over the best structure of this formula in the dataset, meV/atom: 529.4
# Total magnetization, μB/atom: 0.00
# Crystal system: cubic
# Electronic total energy, eV per atom: -1.655

Record 9
# PBE La2PmNd6Y, relaxed
data_La2PmNd6Y
_chemical_formula_sum 'La8 Pm4 Nd24 Y4'
_cell_length_a 9.2222
_cell_length_b 15.4132
_cell_length_c 10.1322
_cell_angle_alpha 90.00
_cell_angle_beta 99.96
_cell_angle_gamma 90.00
_space_group_name_H-M_alt 'C 1 2/c 1'
_space_group_IT_number 15
_space_group_name_Hall '-C 2yc'
loop_
_atom_site_label
_atom_site_type_symbol
_atom_site_fract_x
_atom_site_fract_y
_atom_site_fract_z
La1 La 0.2428 0.0487 0.0406
Pm1 Pm 0.0000 0.0135 0.7500
Nd1 Nd 0.0691 0.1891 0.4452
Nd2 Nd 0.1003 0.3967 0.6208
Nd3 Nd 0.2013 0.2205 0.8126
Y1 Y 0.0000 0.4053 0.2500
# Total magnetization, μB/atom: 0.00
# Crystal system: monoclinic
# Electronic total energy, eV per atom: -4.861
# Energy of formation from the pure elements, eV per atom: 0.106

Record 10
# PBE Ba2ReAs, relaxed
data_Ba2ReAs
_chemical_formula_sum 'Ba4 Re2 As2'
_cell_length_a 8.2499
_cell_length_b 4.7533
_cell_length_c 8.3142
_cell_angle_alpha 90.00
_cell_angle_beta 109.23
_cell_angle_gamma 90.00
_space_group_name_H-M_alt 'C 1 2/m 1'
_space_group_IT_number 12
_space_group_name_Hall '-C 2y'
loop_
_atom_site_label
_atom_site_type_symbol
_atom_site_fract_x
_atom_site_fract_y
_atom_site_fract_z
Ba1 Ba 0.2416 0.0000 0.2250
Re1 Re 0.0000 0.0000 0.5000
As1 As 0.0000 0.5000 0.0000
# Total magnetization, μB/atom: 1.01
# Crystal system: monoclinic
# Electronic total energy, eV per atom: -4.517
# Energy of formation from the pure elements, eV per atom: 0.719